(1)
PBE SbTeI2F, optimized geometry; energy above the lowest structure with this stoichiometry = 0.85 eV/f.u.; V = 41.62 Å³ per atom; space group = P4/mmm, No. 123; energy relative to the elements, uncorrected = 126 meV per atom
1.0
5.908 0.000 0.000
0.000 5.908 0.000
0.000 0.000 5.962
Sb Te I F
1 1 2 1
Direct
0.000 0.000 0.000
0.000 0.000 0.500
0.000 0.500 0.000
0.500 0.000 0.000
0.500 0.500 0.500



(2)
PBE Mg2UH6, optimized geometry; V = 11.34 Å³ per atom; space group = Fm-3m, No. 225; E = -30.384 eV/cell
1.0
0.000 3.709 3.709
3.709 0.000 3.709
3.709 3.709 0.000
Mg U H
2 1 6
Direct
0.250 0.250 0.250
0.750 0.750 0.750
0.000 0.000 0.000
0.276 0.276 0.724
0.276 0.724 0.276
0.276 0.724 0.724
0.724 0.276 0.276
0.724 0.276 0.724
0.724 0.724 0.276